No. 1
The following is a PBE-GGA calculation of crystalline HgSb2Ru at its relaxed geometry, from Alexandria via LeMat-Bulk.

```
4
Lattice="0.0000 3.5121 3.5121 3.5121 0.0000 3.5121 3.5121 3.5121 0.0000" Properties=species:S:1:pos:R:3 pbc="T T T"
Hg 0.0000 0.0000 0.0000
Sb 1.7560 1.7560 1.7560
Sb 3.5121 3.5121 3.5121
Ru 5.2681 5.2681 5.2681
```

Properties
Uncorrected energy: -15.41 eV per cell
Crystal system: cubic
Raw formation energy: 0.60 eV/atom

---

No. 2
The following is a PBE-GGA calculation of crystalline LiGaGePd at its relaxed geometry, from Alexandria via LeMat-Bulk.

```
4
Lattice="0.0000 3.1243 3.1243 3.1243 0.0000 3.1243 3.1243 3.1243 0.0000" Properties=species:S:1:pos:R:3 pbc="T T T"
Li 0.0000 0.0000 0.0000
Ga 1.5621 1.5621 1.5621
Ge 4.6864 4.6864 4.6864
Pd 3.1243 3.1243 3.1243
```

Properties
Uncorrected energy: -16.36 eV per cell
Crystal system: cubic

---

No. 3
The following is a PBE-GGA calculation of crystalline Ce12SmOs6 at its relaxed geometry, from Alexandria via LeMat-Bulk.

```
19
Lattice="6.5096 3.7583 3.2961 -6.5096 3.7583 3.2961 0.0000 -7.5166 3.2961" Properties=species:S:1:pos:R:3 pbc="T T T"
Ce -2.5467 -3.1056 3.2961
Ce -3.9629 -0.6527 3.2961
Ce 0.0000 -1.9337 1.5645
Ce -1.6746 0.9668 1.5645
Ce 1.6746 0.9668 1.5645
Ce 2.5467 -3.1056 3.2961
Ce -1.4162 3.7583 3.2961
Ce 3.9629 -0.6527 3.2961
Ce 1.4162 3.7583 3.2961
Ce -1.6746 -0.9668 8.3238
Ce 1.6746 -0.9668 8.3238
Ce 0.0000 1.9337 8.3238
Sm 0.0000 0.0000 4.9442
Os -3.6222 -2.0913 5.8550
Os 0.0000 -4.1825 4.0334
Os -3.6222 2.0913 4.0334
Os 3.6222 -2.0913 5.8549
Os 0.0000 4.1825 5.8549
Os 3.6222 2.0913 4.0334
```

Properties
Uncorrected energy: -143.87 eV per cell
Crystal system: trigonal

---

No. 4
The following is a PBE-GGA calculation of crystalline Ca2HAu at its relaxed geometry, from Alexandria via LeMat-Bulk.

```
4
Lattice="1.9553 1.1289 7.9520 -1.9553 1.1289 7.9520 0.0000 -2.2578 7.9520" Properties=species:S:1:pos:R:3 pbc="T T T"
Ca 0.0000 0.0000 0.0000
Ca 0.0000 0.0000 4.0765
H 0.0000 0.0000 8.7487
Au 0.0000 0.0000 13.9008
```

Properties
Uncorrected energy: -12.14 eV per cell
Crystal system: trigonal